No. 1
Dy2AlSi3Ni12 (PBE, optimized geometry); calculated volume = 13.391 Å³/atom; space-group type = No. 166; Fermi-level density of states = 12.754 states/eV/f.u.
1.0
-5.485 -1.412 2.650
2.322 -1.083 5.704
-1.113 5.736 2.227
Ni Al Si Dy
12 1 3 2
direct
0.096 0.615 0.615 Ni
0.814 0.294 0.814 Ni
0.814 0.814 0.294 Ni
0.186 0.706 0.186 Ni
0.615 0.615 0.096 Ni
0.385 0.904 0.385 Ni
0.615 0.096 0.615 Ni
0.706 0.186 0.186 Ni
0.186 0.186 0.706 Ni
0.385 0.385 0.904 Ni
0.904 0.385 0.385 Ni
0.294 0.814 0.814 Ni
0.000 0.000 0.000 Al
0.000 0.500 0.000 Si
0.000 0.000 0.500 Si
0.500 0.000 0.000 Si
0.653 0.653 0.653 Dy
0.347 0.347 0.347 Dy

---

No. 2
KRe2Si (PBE, optimized geometry); calculated volume = 17.707 Å³/atom; space-group type = No. 65; Fermi-level density of states = 2.224 states/eV/f.u.
1.0
-3.383 4.255 -1.783
1.515 -4.306 -3.449
-2.050 -1.318 0.745
K Re Si
1 2 1
direct
0.000 0.500 0.500 K
0.500 0.500 0.000 Re
0.000 0.000 0.000 Re
0.500 0.000 0.500 Si

---

no.,VASP energy (eV/f.u.),total magnetization (μB per atom),raw formation energy (kJ per mole of atoms)
1,-102.82,0.00,-22.7
2,-25.63,0.00,139.6